Entry 1:
# BaSn2Pd3 PBE-GGA optimized geometry
data_BaSn2Pd3
_chemical_formula_sum 'Ba4 Sn8 Pd12'
_symmetry_space_group_name_H-M 'C 1 2/m 1'
_symmetry_Int_Tables_number 12
_cell_length_a 17.135
_cell_length_b 4.749
_cell_length_c 8.002
_cell_angle_alpha 90.00
_cell_angle_beta 115.93
_cell_angle_gamma 90.00
loop_
_symmetry_equiv_pos_as_xyz
'x,y,z'
'-x,-y,-z'
'-x,y,-z'
'x,-y,z'
'x+1/2,y+1/2,z'
'-x+1/2,-y+1/2,-z'
'-x+1/2,y+1/2,-z'
'x+1/2,-y+1/2,z'
loop_
_atom_site_label
_atom_site_type_symbol
_atom_site_fract_x
_atom_site_fract_y
_atom_site_fract_z
Ba1 Ba 0.162 0.000 0.103
Sn1 Sn 0.022 0.500 0.209
Sn2 Sn 0.156 0.000 0.593
Pd1 Pd 0.010 0.000 0.681
Pd2 Pd 0.103 0.500 0.669
Pd3 Pd 0.194 0.500 0.446
# - Formation enthalpy at 0 K: -0.6168 eV/atom
# - DOS at the Fermi energy: 3.13 states/eV/f.u.

=====

Entry 2:
# AgRhSe2 PBE-GGA optimized geometry
data_AgRhSe2
_chemical_formula_sum 'Ag1 Rh1 Se2'
_symmetry_space_group_name_H-M 'P 1 2/m 1'
_symmetry_Int_Tables_number 10
_cell_length_a 4.681
_cell_length_b 3.584
_cell_length_c 5.233
_cell_angle_alpha 90.00
_cell_angle_beta 110.31
_cell_angle_gamma 90.00
loop_
_symmetry_equiv_pos_as_xyz
'x,y,z'
'-x,-y,-z'
'-x,y,-z'
'x,-y,z'
loop_
_atom_site_label
_atom_site_type_symbol
_atom_site_fract_x
_atom_site_fract_y
_atom_site_fract_z
Ag1 Ag 0.000 0.000 0.000
Rh1 Rh 0.500 0.000 0.500
Se1 Se 0.265 0.500 0.678
# - DOS at the Fermi energy: 0.96 states/eV/f.u.
# - ΔE_f (raw): -0.05 eV per atom

=====

Entry 3:
# NaGd2Os PBE-GGA optimized geometry
data_NaGd2Os
_chemical_formula_sum 'Na1 Gd2 Os1'
_symmetry_space_group_name_H-M 'P 4/m m m'
_symmetry_Int_Tables_number 123
_symmetry_space_group_name_Hall '-P 4 2'
_cell_length_a 3.421
_cell_length_b 3.421
_cell_length_c 9.574
_cell_angle_alpha 90.00
_cell_angle_beta 90.00
_cell_angle_gamma 90.00
loop_
_atom_site_label
_atom_site_type_symbol
_atom_site_fract_x
_atom_site_fract_y
_atom_site_fract_z
Na1 Na 0.000 0.000 0.000
Gd1 Gd 0.500 0.500 0.325
Os1 Os 0.000 0.000 0.500
# - Formation enthalpy at 0 K: -0.1079 eV/atom
# - DOS at the Fermi energy: 2.06 states/eV/f.u.

=====

Entry 4:
# Ho4HfZr3N8 PBE-GGA optimized geometry
data_Ho4HfZr3N8
_chemical_formula_sum 'Ho12 Hf3 Zr9 N24'
_symmetry_space_group_name_H-M 'R -3 m'
_symmetry_Int_Tables_number 166
_symmetry_space_group_name_Hall '-R 3 2"'
_cell_length_a 6.6486
_cell_length_b 6.6486
_cell_length_c 16.4642
_cell_angle_alpha 90.00
_cell_angle_beta 90.00
_cell_angle_gamma 120.00
loop_
_atom_site_label
_atom_site_type_symbol
_atom_site_fract_x
_atom_site_fract_y
_atom_site_fract_z
Ho1 Ho 0.0000 0.0000 0.0000
Ho2 Ho 0.0000 0.5000 0.0000
Hf1 Hf 0.0000 0.0000 0.5000
Zr1 Zr 0.0000 0.5000 0.5000
N1 N 0.0000 0.0000 0.2452
N2 N 0.0046 0.5023 0.2442
# - DOS at the Fermi energy: 6.05 states/eV/f.u.
# - ΔE_f (raw): -1.76 eV per atom

=====

Entry 5:
# Sc2TcP PBE-GGA optimized geometry
data_Sc2TcP
_chemical_formula_sum 'Sc4 Tc2 P2'
_symmetry_space_group_name_H-M 'C 1 m 1'
_symmetry_Int_Tables_number 8
_cell_length_a 10.361
_cell_length_b 3.221
_cell_length_c 4.390
_cell_angle_alpha 90.00
_cell_angle_beta 106.40
_cell_angle_gamma 90.00
loop_
_symmetry_equiv_pos_as_xyz
'x,y,z'
'x,-y,z'
'x+1/2,y+1/2,z'
'x+1/2,-y+1/2,z'
loop_
_atom_site_label
_atom_site_type_symbol
_atom_site_fract_x
_atom_site_fract_y
_atom_site_fract_z
Sc1 Sc 0.000 0.000 0.000
Sc2 Sc 0.221 0.000 0.672
Tc1 Tc 0.442 0.000 0.453
P1 P 0.269 0.500 0.196
# - Formation enthalpy at 0 K: -0.5943 eV/atom
# - DOS at the Fermi energy: 2.18 states/eV/f.u.

=====

Entry 6:
# BeInO2 PBE-GGA optimized geometry
data_BeInO2
_chemical_formula_sum 'Be4 In4 O8'
_symmetry_space_group_name_H-M 'I -4 2 d'
_symmetry_Int_Tables_number 122
_symmetry_space_group_name_Hall 'I -4 2bw'
_cell_length_a 4.715
_cell_length_b 4.715
_cell_length_c 8.204
_cell_angle_alpha 90.00
_cell_angle_beta 90.00
_cell_angle_gamma 90.00
loop_
_atom_site_label
_atom_site_type_symbol
_atom_site_fract_x
_atom_site_fract_y
_atom_site_fract_z
Be1 Be 0.000 0.000 0.000
In1 In 0.000 0.000 0.500
O1 O 0.141 0.250 0.125
# - Distance to the lowest polymorph of the same formula: 0.000 eV per atom
# - DOS at the Fermi energy: 0.56 states/eV/f.u.
# - ΔE_f (raw): -1.67 eV per atom

=====

Let's list V in order: 585.59; 82.33; 112.07; 630.27; 140.54; 182.40 Å³ per cell.